Al7Hg | meta-GGA SCAN | PBEsol geometry

Cell lengths 5.7575, 5.7575, 5.7575 Å; angles 60.00, 60.00, 60.00 degrees
Last column: nearest neighbours and their distance in Å.
Positions (direct):
Hg (0.0000, 0.0000, 0.0000)  12 Al 2.88
Al (0.0000, 0.0000, 0.5000)  10 Al 2.88, 2 Hg 2.88
Al (0.0000, 0.5000, 0.0000)  2 Hg 2.88, 10 Al 2.88
Al (0.5000, 0.0000, 0.0000)  10 Al 2.88, 2 Hg 2.88
Al (0.5000, 0.5000, 0.0000)  10 Al 2.88, 2 Hg 2.88
Al (0.5000, 0.0000, 0.5000)  10 Al 2.88, 2 Hg 2.88
Al (0.0000, 0.5000, 0.5000)  10 Al 2.88, 2 Hg 2.88
Al (0.5000, 0.5000, 0.5000)  12 Al 2.88

E_form in eV per atom: 0.040
E_tot in eV per cell: -122.106
SG: Fm-3m, No. 225
Total magnetization in Bohr magnetons per cell: 0.0